Material: K4La3HfO8
Method: DFT, PBE
State: relaxed

Results
Formation energy from raw total energies, eV/atom: -2.588

Cell and atoms, written as CIF:
```
data_K4La3HfO8
_chemical_formula_sum 'K12 La9 Hf3 O24'
_cell_length_a 7.2104
_cell_length_b 7.2104
_cell_length_c 18.9468
_cell_angle_alpha 90.00
_cell_angle_beta 90.00
_cell_angle_gamma 120.00
_space_group_name_H-M_alt 'R -3 m'
_space_group_IT_number 166
_space_group_name_Hall '-R 3 2"'
loop_
_atom_site_label
_atom_site_type_symbol
_atom_site_fract_x
_atom_site_fract_y
_atom_site_fract_z
K1 K 0.0000 0.0000 0.0000
K2 K 0.0000 0.5000 0.0000
La1 La 0.0000 0.5000 0.5000
Hf1 Hf 0.0000 0.0000 0.5000
O1 O 0.0000 0.0000 0.2355
O2 O 0.0420 0.5210 0.2273
```

Material: K3La3HfO8
Method: DFT, PBE
State: relaxed

Results
Formation energy from raw total energies, eV/atom: -2.849

Cell and atoms, written as CIF:
```
data_K3La3HfO8
_chemical_formula_sum 'K9 La9 Hf3 O24'
_cell_length_a 7.2083
_cell_length_b 7.2083
_cell_length_c 18.9776
_cell_angle_alpha 90.00
_cell_angle_beta 90.00
_cell_angle_gamma 120.00
_space_group_name_H-M_alt 'R -3 m'
_space_group_IT_number 166
_space_group_name_Hall '-R 3 2"'
loop_
_atom_site_label
_atom_site_type_symbol
_atom_site_fract_x
_atom_site_fract_y
_atom_site_fract_z
K1 K 0.0000 0.5000 0.0000
La1 La 0.0000 0.5000 0.5000
Hf1 Hf 0.0000 0.0000 0.5000
O1 O 0.0000 0.0000 0.2299
O2 O 0.0389 0.5194 0.2246
```

Material: KLaHfTiO6
Method: DFT, PBE
State: relaxed

Results
Formation energy from raw total energies, eV/atom: -3.090

Cell and atoms, written as CIF:
```
data_KLaHfTiO6
_chemical_formula_sum 'K4 La4 Hf4 Ti4 O24'
_cell_length_a 8.059
_cell_length_b 8.059
_cell_length_c 8.059
_cell_angle_alpha 90.00
_cell_angle_beta 90.00
_cell_angle_gamma 90.00
_space_group_name_H-M_alt 'F -4 3 m'
_space_group_IT_number 216
_space_group_name_Hall 'F -4 2 3'
loop_
_atom_site_label
_atom_site_type_symbol
_atom_site_fract_x
_atom_site_fract_y
_atom_site_fract_z
K1 K 0.000 0.000 0.000
La1 La 0.000 0.000 0.500
Hf1 Hf 0.250 0.250 0.250
Ti1 Ti 0.250 0.250 0.750
O1 O 0.006 0.250 0.750
```

Material: K2LaHfP
Method: DFT, PBE
State: relaxed

Results
ΔH_f (0 K), eV/atom: 0.437

Cell and atoms, written as CIF:
```
data_K2LaHfP
_chemical_formula_sum 'K2 La1 Hf1 P1'
_cell_length_a 6.037
_cell_length_b 6.037
_cell_length_c 5.056
_cell_angle_alpha 90.00
_cell_angle_beta 90.00
_cell_angle_gamma 90.00
_space_group_name_H-M_alt 'P 4/m m m'
_space_group_IT_number 123
_space_group_name_Hall '-P 4 2'
loop_
_atom_site_label
_atom_site_type_symbol
_atom_site_fract_x
_atom_site_fract_y
_atom_site_fract_z
K1 K 0.000 0.500 0.000
La1 La 0.000 0.000 0.500
Hf1 Hf 0.500 0.500 0.500
P1 P 0.500 0.500 0.000
```

no.,magnetic moment (Bohr magnetons per cell)
1,0.7
2,0.0
3,0.0
4,0.8